The following is a PBE+U calculation of a relaxed Li5FeO3F crystal, from Alexandria.

Structure (CIF):
```
data_Li5FeO3F
_chemical_formula_sum 'Li10 Fe2 O6 F2'
_cell_length_a 5.461
_cell_length_b 5.461
_cell_length_c 6.687
_cell_angle_alpha 90.00
_cell_angle_beta 90.00
_cell_angle_gamma 94.54
_symmetry_space_group_name_H-M 'P 1'
_symmetry_Int_Tables_number 1
loop_
_symmetry_equiv_pos_as_xyz
'x,y,z'
loop_
_atom_site_label
_atom_site_type_symbol
_atom_site_fract_x
_atom_site_fract_y
_atom_site_fract_z
_atom_site_occupancy
O1 O 0.209 0.805 0.985 1
Li1 Li 0.888 0.595 0.479 1
O2 O 0.705 0.689 0.750 1
F1 F 0.292 0.288 0.750 1
Li2 Li 0.169 0.169 0.000 1
Li3 Li 0.345 0.634 0.750 1
Li4 Li 0.876 0.013 0.250 1
F2 F 0.288 0.292 0.250 1
O3 O 0.805 0.209 0.015 1
Fe1 Fe 0.706 0.305 0.750 1
O4 O 0.805 0.209 0.485 1
O5 O 0.689 0.705 0.250 1
Fe2 Fe 0.305 0.706 0.250 1
Li5 Li 0.595 0.888 0.521 1
O6 O 0.209 0.805 0.515 1
Li6 Li 0.888 0.595 0.021 1
Li7 Li 0.595 0.888 0.979 1
Li8 Li 0.634 0.345 0.250 1
Li9 Li 0.013 0.876 0.750 1
Li10 Li 0.169 0.169 0.500 1
```

Summary:
total magnetization	8.00	Bohr magnetons per cell
density of states at the Fermi level	0.00	states/eV/f.u.
space group	Ama2 (40)
energy	-5.099	eV/atom
polymorph energy (0 for the lowest one)	45	meV/atom
V	198.8	Å³/cell